No. 1
VASP calculation (GGA-PBE) on a relaxed BaLaCuTe2Se crystal.

Properties
volume = 31.25 Å³/atom
DFT total energy = -115.3 eV/cell
polymorph energy (0 for the lowest one) = 0 meV/atom

Cell: 4.468 14.871 11.288 Å, 90.00 90.00 90.00°
Space group Cmcm (No. 63)
Inequivalent atoms, fractional coordinates:
Ba1 0.000 0.229 0.250 x4
La1 0.000 0.500 0.000 x4
Cu1 0.000 0.030 0.750 x4
Te1 0.000 0.144 0.569 x8
Se1 0.000 0.437 0.750 x4


No. 2
VASP calculation (GGA-PBE) on a relaxed LaInHgTe3 crystal.

Properties
volume = 34.54 Å³/atom
DFT total energy = -87.4 eV/cell
polymorph energy (0 for the lowest one) = 0 meV/atom

Cell: 4.559 15.261 11.915 Å, 90.00 90.00 90.00°
Space group Cmcm (No. 63)
Inequivalent atoms, fractional coordinates:
La1 0.000 0.000 0.000 x4
In1 0.000 0.240 0.250 x4
Hg1 0.000 0.469 0.750 x4
Te1 0.000 0.090 0.750 x4
Te2 0.000 0.356 0.559 x8


No. 3
VASP calculation (GGA-PBE) on a relaxed AlFeW4C2 crystal.

Properties
volume = 13.12 Å³/atom
DFT total energy = -81.3 eV/cell

Cell: 3.0110 3.0110 13.3660 Å, 90.00 90.00 120.00°
Space group P-6m2 (No. 187)
Inequivalent atoms, fractional coordinates:
Al1 0.0000 0.0000 0.0000 x1
Fe1 0.3333 0.6667 0.5000 x1
W1 0.0000 0.0000 0.3477 x2
W2 0.3333 0.6667 0.1655 x2
C1 0.6667 0.3333 0.2560 x2


No. 4
VASP calculation (GGA-PBE) on a relaxed RbHfFe crystal.

Properties
volume = 26.24 Å³/atom
DFT total energy = -57.4 eV/cell
polymorph energy (0 for the lowest one) = 0 meV/atom

Cell: 6.803 6.803 6.803 Å, 90.00 90.00 90.00°
Space group F-43m (No. 216)
Inequivalent atoms, fractional coordinates:
Rb1 0.000 0.000 0.000 x4
Hf1 0.000 0.000 0.500 x4
Fe1 0.250 0.250 0.750 x4